Here is crystalline Pa2Ni3Ru at its relaxed geometry from Alexandria. Energies are from GGA-PBE.

## Properties
calculated volume: 15.74 Å³ per atom
total magnetic moment: 0.0 μB/f.u.
uncorrected energy: -8.035 eV per atom
theoretical density: 13.0 g cm⁻³
crystal system: monoclinic

The structure in CIF format:
```
data_Pa2Ni3Ru
_chemical_formula_sum 'Pa4 Ni6 Ru2'
_cell_length_a 8.671
_cell_length_b 4.993
_cell_length_c 5.232
_cell_angle_alpha 90.00
_cell_angle_beta 123.51
_cell_angle_gamma 90.00
_space_group_name_H-M_alt 'C 1 2/m 1'
_space_group_IT_number 12
_space_group_name_Hall '-C 2y'
loop_
_atom_site_label
_atom_site_fract_x
_atom_site_fract_y
_atom_site_fract_z
_atom_site_occupancy
Pa1 0.127 0.000 0.380 1
Ni1 0.000 0.500 0.000 1
Ni2 0.250 0.250 0.000 1
Ru1 0.000 0.500 0.500 1
```

Here is crystalline Pa4Ni6Ru7 at its relaxed geometry from Alexandria. Energies are from GGA-PBE.

## Properties
calculated volume: 15.71 Å³ per atom
total magnetic moment: 0.0 μB/f.u.
uncorrected energy: -8.494 eV per atom
theoretical density: 12.3 g cm⁻³
crystal system: cubic

The structure in CIF format:
```
data_Pa4Ni6Ru7
_chemical_formula_sum 'Pa8 Ni12 Ru14'
_cell_length_a 8.113
_cell_length_b 8.113
_cell_length_c 8.113
_cell_angle_alpha 90.00
_cell_angle_beta 90.00
_cell_angle_gamma 90.00
_space_group_name_H-M_alt 'I m -3 m'
_space_group_IT_number 229
_space_group_name_Hall '-I 4 2 3'
loop_
_atom_site_label
_atom_site_fract_x
_atom_site_fract_y
_atom_site_fract_z
_atom_site_occupancy
Pa1 0.250 0.250 0.250 1
Ni1 0.000 0.000 0.298 1
Ru1 0.000 0.000 0.000 1
Ru2 0.000 0.250 0.500 1
```

Here is crystalline Pa2Ni3Ru3 at its relaxed geometry from Alexandria. Energies are from GGA-PBE.

## Properties
calculated volume: 15.54 Å³ per atom
total magnetic moment: 0.0 μB/f.u.
uncorrected energy: -8.482 eV per atom
theoretical density: 12.6 g cm⁻³
crystal system: orthorhombic

The structure in CIF format:
```
data_Pa2Ni3Ru3
_chemical_formula_sum 'Pa2 Ni3 Ru3'
_cell_length_a 3.976
_cell_length_b 4.024
_cell_length_c 7.770
_cell_angle_alpha 90.00
_cell_angle_beta 90.00
_cell_angle_gamma 90.00
_space_group_name_H-M_alt 'P m m m'
_space_group_IT_number 47
_space_group_name_Hall '-P 2 2'
loop_
_atom_site_label
_atom_site_fract_x
_atom_site_fract_y
_atom_site_fract_z
_atom_site_occupancy
Pa1 0.000 0.000 0.248 1
Ni1 0.000 0.500 0.000 1
Ni2 0.500 0.500 0.247 1
Ru1 0.000 0.500 0.500 1
Ru2 0.500 0.000 0.000 1
Ru3 0.500 0.000 0.500 1
```

Here is crystalline Pa2NiRu at its relaxed geometry from Alexandria. Energies are from GGA-PBE.

## Properties
calculated volume: 19.52 Å³ per atom
total magnetic moment: 0.0 μB/f.u.
uncorrected energy: -8.317 eV per atom
theoretical density: 13.2 g cm⁻³
crystal system: trigonal

The structure in CIF format:
```
data_Pa2NiRu
_chemical_formula_sum 'Pa6 Ni3 Ru3'
_cell_length_a 3.0601
_cell_length_b 3.0601
_cell_length_c 28.8771
_cell_angle_alpha 90.00
_cell_angle_beta 90.00
_cell_angle_gamma 120.00
_space_group_name_H-M_alt 'R -3 m'
_space_group_IT_number 166
_space_group_name_Hall '-R 3 2"'
loop_
_atom_site_label
_atom_site_fract_x
_atom_site_fract_y
_atom_site_fract_z
_atom_site_occupancy
Pa1 0.0000 0.0000 0.0868 1
Ni1 0.0000 0.0000 0.0000 1
Ru1 0.0000 0.0000 0.5000 1
```

Here is crystalline Pa2NiRu at its relaxed geometry from Alexandria. Energies are from GGA-PBE.

## Properties
calculated volume: 19.34 Å³ per atom
total magnetic moment: 0.0 μB/f.u.
uncorrected energy: -8.770 eV per atom
theoretical density: 13.3 g cm⁻³
crystal system: tetragonal

The structure in CIF format:
```
data_Pa2NiRu
_chemical_formula_sum 'Pa2 Ni1 Ru1'
_cell_length_a 3.390
_cell_length_b 3.390
_cell_length_c 6.734
_cell_angle_alpha 90.00
_cell_angle_beta 90.00
_cell_angle_gamma 90.00
_space_group_name_H-M_alt 'P 4/m m m'
_space_group_IT_number 123
_space_group_name_Hall '-P 4 2'
loop_
_atom_site_label
_atom_site_fract_x
_atom_site_fract_y
_atom_site_fract_z
_atom_site_occupancy
Pa1 0.000 0.000 0.243 1
Ni1 0.500 0.500 0.000 1
Ru1 0.500 0.500 0.500 1
```

Here is crystalline PaNi2Ru at its relaxed geometry from Alexandria. Energies are from GGA-PBE.

## Properties
calculated volume: 15.33 Å³ per atom
total magnetic moment: 0.0 μB/f.u.
offset from the most stable computed form: 0.311 eV/atom
theoretical density: 12.2 g cm⁻³
crystal system: cubic

The structure in CIF format:
```
data_PaNi2Ru
_chemical_formula_sum 'Pa4 Ni8 Ru4'
_cell_length_a 6.259
_cell_length_b 6.259
_cell_length_c 6.259
_cell_angle_alpha 90.00
_cell_angle_beta 90.00
_cell_angle_gamma 90.00
_space_group_name_H-M_alt 'F m -3 m'
_space_group_IT_number 225
_space_group_name_Hall '-F 4 2 3'
loop_
_atom_site_label
_atom_site_fract_x
_atom_site_fract_y
_atom_site_fract_z
_atom_site_occupancy
Pa1 0.000 0.000 0.000 1
Ni1 0.250 0.250 0.250 1
Ru1 0.000 0.000 0.500 1
```